[1]
The following is a DFT calculation (GGA-PBE) of LaOsN3 after structural relaxation.

Energy relative to the elements, uncorrected, eV/atom: -0.41
Total magnetic moment, μB/atom: 0.000

abc: 6.7379 5.7048 3.6601
angles: 90.00 90.07 90.00
Fractional coordinates of all 10 atoms:
N1 0.0889 0.1338 0.3028
N2 0.6836 0.1403 0.3022
N3 0.4943 0.6403 0.3034
N4 0.0890 0.6338 0.3028
N5 0.6836 0.6272 0.3022
N6 0.4943 0.1272 0.3034
Os1 0.8951 0.3838 0.3022
Os2 0.2828 0.8838 0.3033
La1 0.8784 0.8837 0.8025
La2 0.2995 0.3837 0.8030

[2]
The following is a DFT calculation (GGA-PBE) of La6OsPb2N after structural relaxation.

Energy relative to the elements, uncorrected, eV/atom: -0.55
Total magnetic moment, μB/atom: 0.000

abc: 7.5893 7.5894 7.5922
angles: 59.98 59.98 89.99
Fractional coordinates of all 10 atoms:
La1 0.2605 0.2605 0.4794
La2 0.7400 0.7395 0.9998
La3 0.2606 0.7398 0.0000
La4 0.7394 0.2602 0.0000
La5 0.2600 0.2605 0.0002
La6 0.7395 0.7395 0.5206
Os1 0.0000 0.0000 0.0000
Pb1 0.7502 0.2499 0.4999
Pb2 0.2498 0.7501 0.5001
N1 0.5000 0.5000 0.0000

[3]
The following is a DFT calculation (GGA-PBE) of LaOsPb2N after structural relaxation.

Energy relative to the elements, uncorrected, eV/atom: 0.21
Total magnetic moment, μB/atom: 0.000

abc: 5.7666 5.7666 3.7295
angles: 90.00 90.00 90.00
Fractional coordinates of all 5 atoms:
Pb1 0.0000 0.5000 0.0000
Pb2 0.5000 0.0000 0.0000
N1 0.0000 0.0000 0.5000
Os1 0.0000 0.0000 0.0000
La1 0.5000 0.5000 0.5000